[1]
{"formula": "Cr3PdI", "functional": "PBE", "state": "relaxed", "lattice_angstrom": [[5.020, 0.000, 0.000], [0.000, 5.020, 0.000], [0.000, 0.000, 5.020]], "species": ["I", "Cr", "Cr", "Cr", "Pd"], "fractional_positions": [[0.500, 0.500, 0.500], [0.000, 0.500, 0.000], [0.000, 0.000, 0.500], [0.500, 0.000, 0.000], [0.000, 0.000, 0.000]], "crystal_system": "cubic", "energy_ev_per_cell": -30.29, "formation_energy_uncorrected_ev_per_atom": 1.065, "polymorph_energy_mev_per_atom": 0, "magmom_total_mub_per_cell": 13.903, "density_g_cm3": 5.11}


[2]
{"formula": "CrSbPdI2", "functional": "PBE", "state": "relaxed", "lattice_angstrom": [[5.567, 0.000, 0.000], [0.000, 5.567, 0.000], [0.000, 0.000, 5.192]], "species": ["I", "I", "Sb", "Pd", "Cr"], "fractional_positions": [[0.000, 0.500, 0.000], [0.500, 0.000, 0.000], [0.000, 0.000, 0.500], [0.000, 0.000, 0.000], [0.500, 0.500, 0.500]], "crystal_system": "tetragonal", "energy_ev_per_cell": -19.18, "formation_energy_uncorrected_ev_per_atom": 0.571, "polymorph_energy_mev_per_atom": 0, "magmom_total_mub_per_cell": 4.438, "density_g_cm3": 5.51}


[3]
{"formula": "CrSn2PdI", "functional": "PBE", "state": "relaxed", "lattice_angstrom": [[5.219, 0.000, 0.000], [0.000, 4.960, 0.000], [0.000, 0.000, 5.219]], "species": ["I", "Cr", "Sn", "Sn", "Pd"], "fractional_positions": [[0.500, 0.500, 0.500], [0.000, 0.000, 0.000], [0.000, 0.000, 0.500], [0.500, 0.000, 0.000], [0.000, 0.500, 0.000]], "crystal_system": "tetragonal", "energy_ev_per_cell": -21.91, "formation_energy_uncorrected_ev_per_atom": 0.493, "magmom_total_mub_per_cell": 3.050, "density_g_cm3": 6.42}


[4]
{"formula": "CrTe2PdI", "functional": "PBE", "state": "relaxed", "lattice_angstrom": [[5.135, 0.000, 0.000], [0.000, 5.135, 0.000], [0.000, 0.000, 5.609]], "species": ["I", "Cr", "Te", "Te", "Pd"], "fractional_positions": [[0.000, 0.000, 0.500], [0.000, 0.000, 0.000], [0.000, 0.500, 0.000], [0.500, 0.000, 0.000], [0.500, 0.500, 0.500]], "crystal_system": "tetragonal", "energy_ev_per_cell": -19.92, "formation_energy_uncorrected_ev_per_atom": 0.546, "polymorph_energy_mev_per_atom": 0, "magmom_total_mub_per_cell": 1.667, "density_g_cm3": 6.07}


[5]
{"formula": "CrPd2WI", "functional": "PBE", "state": "relaxed", "lattice_angstrom": [[4.992, 0.000, 0.000], [0.000, 4.497, 0.000], [0.000, 0.000, 4.992]], "species": ["I", "Cr", "Pd", "Pd", "W"], "fractional_positions": [[0.500, 0.500, 0.500], [0.000, 0.500, 0.000], [0.000, 0.000, 0.500], [0.500, 0.000, 0.000], [0.000, 0.000, 0.000]], "crystal_system": "tetragonal", "energy_ev_per_cell": -27.88, "formation_energy_uncorrected_ev_per_atom": 1.327, "magmom_total_mub_per_cell": 0.015, "density_g_cm3": 8.53}


[6]
{"formula": "PrCrI2", "functional": "PBE", "state": "relaxed", "lattice_angstrom": [[-2.270, -1.043, 3.254], [-0.922, -3.940, 0.680], [7.054, -2.636, 6.662]], "species": ["Pr", "I", "I", "Cr"], "fractional_positions": [[0.000, 0.000, 0.000], [0.108, 0.108, 0.676], [0.892, 0.892, 0.324], [0.500, 0.500, 0.500]], "crystal_system": "trigonal", "energy_ev_per_cell": -17.91, "formation_energy_uncorrected_ev_per_atom": -0.101, "magmom_total_mub_per_cell": 5.175, "density_g_cm3": 5.21}